[1]
Material: Tb4Ho5Pu
Method: DFT, PBE
State: relaxed

The value obtained for the formation energy is 0.2604 eV/atom. Its energy above the most stable polymorph in this dataset is 1.98 eV/f.u.

The structure belongs to space group I4mm (No. 107); the cell edges are 10.8339, 10.8339 and 5.4131 Å and the angles 90.00°, 90.00° and 90.00°. The distinct sites, in fractional coordinates, are Tb at (0.0000, 0.3242, 0.0000), Ho at (0.0000, 0.0000, 0.9994), Ho at (0.1839, 0.1839, 0.4999) and Pu at (0.0000, 0.0000, 0.4993).

=====

[2]
Material: NiSb6Pd
Method: DFT, PBE
State: relaxed

The formation energy (no corrections) comes out at -1.58 eV/f.u.

The structure belongs to space group C2/m (No. 12); the cell edges are 13.2627, 9.4005 and 9.4119 Å and the angles 90.00°, 134.75° and 90.00°. The distinct sites, in fractional coordinates, are Ni at (0.2500, 0.2500, 0.0000), Sb at (0.0077, 0.1582, 0.6648), Sb at (0.1532, 0.5000, 0.3045), Sb at (0.1580, 0.1572, 0.1508), Sb at (0.1603, 0.5000, 0.9957) and Pd at (0.2500, 0.2500, 0.5000).

=====

[3]
Material: Nb3CrS6
Method: DFT, PBE
State: relaxed

The formation energy (no corrections) comes out at -7.31 eV/f.u.

The structure belongs to space group Cmc2_1 (No. 36); the cell edges are 9.7877, 12.2693 and 5.9387 Å and the angles 90.00°, 90.00° and 90.00°. The distinct sites, in fractional coordinates, are Nb at (0.0000, 0.0864, 0.0000), Nb at (0.1521, 0.3852, 0.0935), Cr at (0.0000, 0.2966, 0.6905), S at (0.0000, 0.2592, 0.2984), S at (0.0000, 0.4726, 0.8010), S at (0.1722, 0.0317, 0.2938) and S at (0.1785, 0.2151, 0.8567).

=====

[4]
Material: Er2Ga3Cu4Si
Method: DFT, PBE
State: relaxed

The formation energy (no corrections) comes out at -4.15 eV/f.u.

The structure belongs to space group P-4m2 (No. 115); the cell edges are 4.0731, 4.0731 and 10.0500 Å and the angles 90.00°, 90.00° and 90.00°. The distinct sites, in fractional coordinates, are Er at (0.0000, 0.5000, 0.2484), Ga at (0.0000, 0.0000, 0.0000), Ga at (0.0000, 0.5000, 0.6341), Cu at (0.0000, 0.0000, 0.5000), Cu at (0.0000, 0.5000, 0.8706), Cu at (0.5000, 0.5000, 0.5000) and Si at (0.5000, 0.5000, 0.0000).

=====

[5]
Material: FeBi3C
Method: DFT, PBE
State: relaxed

The value obtained for the formation energy is 1.6101 eV/atom. Its energy above the most stable polymorph in this dataset is 0.43 eV/f.u.

The structure belongs to space group Pm-3m (No. 221); the cell edges are 5.0004, 5.0004 and 5.0004 Å and the angles 90.00°, 90.00° and 90.00°. The distinct sites, in fractional coordinates, are Fe at (0.0000, 0.0000, 0.0000), Bi at (0.0000, 0.0000, 0.5000) and C at (0.5000, 0.5000, 0.5000).

=====

[6]
Material: NdMgGaPb
Method: DFT, PBE
State: relaxed

The value obtained for the formation energy is -0.4051 eV/atom. Its energy above the most stable polymorph in this dataset is 0.00 eV/f.u.

The structure belongs to space group Pmmm (No. 47); the cell edges are 4.4495, 4.6787 and 4.8160 Å and the angles 90.00°, 90.00° and 90.00°. The distinct sites, in fractional coordinates, are Nd at (0.0000, 0.0000, 0.0000), Mg at (0.0000, 0.5000, 0.5000), Ga at (0.5000, 0.5000, 0.0000) and Pb at (0.5000, 0.0000, 0.5000).

=====

What is the formula in the third record?
Nb3CrS6